## Mn5Nb2GaSi2 (PBE)

Data for Mn5Nb2GaSi2 after structural relaxation.

Unit cell a=8.888 b=8.888 c=3.437 alpha=90.00 beta=90.00 gamma=90.00
Atoms (fractional coordinates):
Mn 0.000 0.500 0.000
Mn 0.063 0.209 0.000
Mn 0.209 0.937 0.000
Mn 0.291 0.437 0.000
Mn 0.437 0.709 0.000
Mn 0.500 0.000 0.000
Mn 0.563 0.291 0.000
Mn 0.709 0.563 0.000
Mn 0.791 0.063 0.000
Mn 0.937 0.791 0.000
Nb 0.175 0.675 0.500
Nb 0.325 0.175 0.500
Nb 0.675 0.825 0.500
Nb 0.825 0.325 0.500
Ga 0.000 0.000 0.500
Ga 0.500 0.500 0.500
Si 0.121 0.379 0.500
Si 0.379 0.879 0.500
Si 0.621 0.121 0.500
Si 0.879 0.621 0.500

Values from the calculation:
SG ... P4/mbm (127)
E_form (uncorrected) ... -2.5 eV/f.u.

---

## ScMo2Ru (PBE)

Data for ScMo2Ru after structural relaxation.

Unit cell a=3.177 b=3.177 c=6.482 alpha=90.00 beta=90.00 gamma=90.00
Atoms (fractional coordinates):
Sc 0.000 0.000 0.000
Mo 0.000 0.000 0.501
Mo 0.500 0.500 0.276
Ru 0.500 0.500 0.744

Values from the calculation:
Offset from the most stable computed form ... 15.5 meV/atom
Energy of formation from the pure elements ... -36 kJ/mol of formula units
SG ... P4mm (99)